(1)
YCdSb2Te | Alexandria via LeMat-Bulk | PBE | optimized geometry; symmetry = P4/mmm; calculated volume = 164.8 Å³ per cell; ΔE_f (raw) = 1.4 eV/f.u.; E above lowest polymorph = 89 meV per atom; total magnetic moment = 0.000 μB/atom
1.0
-2.331 4.261 -2.436
-4.610 -0.975 2.706
1.732 3.316 4.144
Y Sb Te Cd
1 2 1 1
direct
0.500 0.500 0.500
0.000 0.500 0.000
0.500 0.000 0.000
0.000 0.000 0.500
0.000 0.000 0.000


(2)
Ti6GaS | Alexandria via LeMat-Bulk | PBE | optimized geometry; symmetry = P-1; calculated volume = 132.0 Å³ per cell; ΔE_f (raw) = -2.8 eV/f.u.; total magnetic moment = 0.000 μB/atom
1.0
-2.083 -1.383 4.449
-3.480 -5.642 1.725
3.459 -3.792 1.198
Ti Ga S
6 1 1
direct
0.107 0.274 0.723
0.803 0.947 0.662
0.406 0.340 0.049
0.197 0.053 0.338
0.893 0.726 0.277
0.594 0.660 0.951
0.500 0.500 0.500
0.000 0.000 0.000


(3)
TaFe2Ag | Alexandria via LeMat-Bulk | PBE | optimized geometry; symmetry = P4/mmm; calculated volume = 60.3 Å³ per cell; calculated formation energy = 0.289 eV per atom; E above lowest polymorph = 92 meV per atom; total magnetic moment = 1.206 μB/atom
1.0
-1.388 2.007 1.158
-2.308 -1.319 -0.480
0.639 -3.778 7.317
Ag Fe Ta
1 2 1
direct
0.500 0.500 0.750
0.000 0.000 0.000
0.000 0.000 0.500
0.500 0.500 0.250


(4)
Mn3ReCl | Alexandria via LeMat-Bulk | PBE | optimized geometry; symmetry = Pm-3m; calculated volume = 65.9 Å³ per cell; ΔE_f (raw) = 5.8 eV/f.u.; E above lowest polymorph = 0 meV per atom; total magnetic moment = 0.000 μB/atom
1.0
4.039 0.000 0.000
0.000 4.039 0.000
0.000 0.000 4.039
Re Mn Cl
1 3 1
direct
0.500 0.500 0.500
0.000 0.500 0.000
0.000 0.000 0.500
0.500 0.000 0.000
0.000 0.000 0.000


(5)
Rb2Os2Pb | Alexandria via LeMat-Bulk | PBE | optimized geometry; symmetry = I4/mmm; calculated volume = 154.7 Å³ per cell; calculated formation energy = 0.738 eV per atom; E above lowest polymorph = 0 meV per atom; total magnetic moment = 0.000 μB/atom
1.0
3.517 0.000 0.000
0.000 3.517 0.000
1.758 1.758 12.505
Pb Os Rb
1 2 2
direct
0.000 0.000 0.000
0.750 0.250 0.500
0.250 0.750 0.500
0.375 0.375 0.250
0.625 0.625 0.750


(6)
Pm2Si5Pt | Alexandria via LeMat-Bulk | PBE | optimized geometry; symmetry = I4mm; calculated volume = 158.1 Å³ per cell; ΔE_f (raw) = -4.5 eV/f.u.; total magnetic moment = 0.000 μB/atom
1.0
-1.700 5.236 3.067
-3.821 -3.761 -3.312
1.360 -5.561 2.634
Pm Si Pt
2 5 1
direct
0.500 0.241 0.741
0.500 0.741 0.241
0.435 0.719 0.719
0.000 0.719 0.284
0.000 0.284 0.719
0.565 0.284 0.284
0.000 0.316 0.316
0.000 0.917 0.917


(7)
AcPrB2N4 | Alexandria via LeMat-Bulk | PBE | optimized geometry; symmetry = I222; calculated volume = 112.5 Å³ per cell; ΔE_f (raw) = -8.9 eV/f.u.; total magnetic moment = 0.000 μB/atom
1.0
-4.167 -1.369 -3.779
-3.194 -4.181 0.601
-5.090 1.270 0.718
Ac Pr B N
1 1 2 4
direct
0.500 0.500 0.500
0.000 0.000 0.000
0.249 0.251 0.251
0.751 0.749 0.749
0.413 0.086 0.417
0.916 0.914 0.583
0.084 0.417 0.086
0.587 0.583 0.914


(8)
Li2SmScSe4 | Alexandria via LeMat-Bulk | PBE | optimized geometry; symmetry = P2/m; calculated volume = 180.9 Å³ per cell; ΔE_f (raw) = -13.0 eV/f.u.; total magnetic moment = 0.000 μB/atom
1.0
4.016 0.000 0.000
0.000 6.957 0.119
0.000 -2.425 6.431
Li Sm Sc Se
2 1 1 4
direct
0.500 0.000 0.500
0.000 0.500 0.500
0.500 0.500 0.000
0.000 0.000 0.000
0.500 0.234 0.246
0.500 0.766 0.754
0.000 0.233 0.746
0.000 0.767 0.254


(9)
MnGaReC2 | Alexandria via LeMat-Bulk | PBE | optimized geometry; symmetry = P4/mmm; calculated volume = 69.8 Å³ per cell; calculated formation energy = 2.591 eV per atom; total magnetic moment = 0.404 μB/atom
1.0
3.863 0.000 0.000
0.000 4.679 0.000
0.000 0.000 3.863
Re C Mn Ga
1 2 1 1
direct
0.500 0.500 0.500
0.000 0.000 0.500
0.500 0.000 0.000
0.000 0.500 0.000
0.000 0.000 0.000


(10)
CrNi4Br | Alexandria via LeMat-Bulk | PBE | optimized geometry; symmetry = F-43m; calculated volume = 81.0 Å³ per cell; ΔE_f (raw) = 3.1 eV/f.u.; total magnetic moment = 0.186 μB/atom
1.0
2.978 -3.464 -1.648
3.303 -1.974 2.963
-0.531 -4.582 1.519
Cr Ni Br
1 4 1
direct
0.000 0.000 0.000
0.626 0.626 0.122
0.626 0.122 0.626
0.626 0.626 0.626
0.122 0.626 0.626
0.250 0.250 0.250


(11)
Mg2PdWS | Alexandria via LeMat-Bulk | PBE | optimized geometry; symmetry = P4/mmm; calculated volume = 115.0 Å³ per cell; ΔE_f (raw) = 3.6 eV/f.u.; total magnetic moment = 0.402 μB/atom
1.0
-2.789 -3.454 2.005
-0.766 -1.925 -4.382
3.919 -2.838 0.562
Mg S Pd W
2 1 1 1
direct
0.000 0.000 0.500
0.500 0.000 0.000
0.500 0.500 0.500
0.000 0.000 0.000
0.000 0.500 0.000